[1]
This record from Alexandria describes an optimized crystal structure of Er4AlBi. The functional is PBE-GGA.

Lattice parameters (Å, degrees): 9.853 9.853 9.853 60.00 60.00 60.00
Element x y z (fractional)
Er1 0.185 0.185 0.815
Er2 0.185 0.815 0.185
Er3 0.185 0.815 0.815
Er4 0.371 0.371 0.371
Er5 0.371 0.371 0.888
Er6 0.371 0.888 0.371
Er7 0.555 0.555 0.945
Er8 0.555 0.945 0.555
Er9 0.555 0.945 0.945
Er10 0.815 0.185 0.185
Er11 0.815 0.185 0.815
Er12 0.815 0.815 0.185
Er13 0.888 0.371 0.371
Er14 0.945 0.555 0.555
Er15 0.945 0.555 0.945
Er16 0.945 0.945 0.555
Al1 0.155 0.155 0.155
Al2 0.155 0.155 0.536
Al3 0.155 0.536 0.155
Al4 0.536 0.155 0.155
Bi1 0.210 0.597 0.597
Bi2 0.597 0.210 0.597
Bi3 0.597 0.597 0.210
Bi4 0.597 0.597 0.597

Summary:
- E_tot (Ha/atom) = -0.172
- formation enthalpy at 0 K (meV/atom) = -372
- ρ (g/cm3) = 8.89
- energy relative to the lowest polymorph listed for this composition (meV per atom) = 0



[2]
This record from Alexandria describes an optimized crystal structure of ErAlBi2. The functional is PBE-GGA.

Lattice parameters (Å, degrees): 4.979 4.979 4.324 90.00 90.00 90.00
Element x y z (fractional)
Er1 0.000 0.000 0.000
Al1 0.500 0.500 0.000
Bi1 0.000 0.500 0.500
Bi2 0.500 0.000 0.500

Summary:
- E_tot (Ha/atom) = -0.156
- formation enthalpy at 0 K (meV/atom) = -219
- ρ (g/cm3) = 9.48